<1>
# Ce2SmEr, relaxed, DFT PBE
# - ρ (g cm⁻³) = 8.2
# - DOS(E_F) (states/eV/cell) = 32.147
# - volume (Å³ per atom) = 30.20
data_Ce2SmEr
_cell_length_a 3.3613
_cell_length_b 3.3613
_cell_length_c 37.0421
_cell_angle_alpha 90.00
_cell_angle_beta 90.00
_cell_angle_gamma 120.00
_space_group_name_H-M_alt 'R -3 m'
_space_group_IT_number 166
_space_group_name_Hall '-R 3 2"'
loop_
_atom_site_label
_atom_site_type_symbol
_atom_site_fract_x
_atom_site_fract_y
_atom_site_fract_z
Ce1 Ce 0.0000 0.0000 0.0847
Sm1 Sm 0.0000 0.0000 0.5000
Er1 Er 0.0000 0.0000 0.0000

<2>
# Ce2SmEr, relaxed, DFT PBE
# - ρ (g cm⁻³) = 8.1
# - DOS(E_F) (states/eV/cell) = 10.355
# - volume (Å³ per atom) = 30.66
data_Ce2SmEr
_cell_length_a 3.474
_cell_length_b 3.474
_cell_length_c 10.159
_cell_angle_alpha 90.00
_cell_angle_beta 90.00
_cell_angle_gamma 90.00
_space_group_name_H-M_alt 'P 4/m m m'
_space_group_IT_number 123
_space_group_name_Hall '-P 4 2'
loop_
_atom_site_label
_atom_site_type_symbol
_atom_site_fract_x
_atom_site_fract_y
_atom_site_fract_z
Ce1 Ce 0.000 0.000 0.247
Sm1 Sm 0.500 0.500 0.500
Er1 Er 0.500 0.500 0.000

<3>
# Ce2SmEr, relaxed, DFT PBE
# - ρ (g cm⁻³) = 7.8
# - DOS(E_F) (states/eV/cell) = 66.465
# - volume (Å³ per atom) = 31.90
data_Ce2SmEr
_cell_length_a 7.991
_cell_length_b 7.991
_cell_length_c 7.991
_cell_angle_alpha 90.00
_cell_angle_beta 90.00
_cell_angle_gamma 90.00
_space_group_name_H-M_alt 'F m -3 m'
_space_group_IT_number 225
_space_group_name_Hall '-F 4 2 3'
loop_
_atom_site_label
_atom_site_type_symbol
_atom_site_fract_x
_atom_site_fract_y
_atom_site_fract_z
Ce1 Ce 0.250 0.250 0.250
Sm1 Sm 0.000 0.000 0.000
Er1 Er 0.000 0.000 0.500

<4>
# Ce2SmEr, relaxed, DFT PBE
# - ρ (g cm⁻³) = 8.1
# - DOS(E_F) (states/eV/cell) = 29.907
# - volume (Å³ per atom) = 30.50
data_Ce2SmEr
_cell_length_a 3.4901
_cell_length_b 3.4901
_cell_length_c 34.6988
_cell_angle_alpha 90.00
_cell_angle_beta 90.00
_cell_angle_gamma 120.00
_space_group_name_H-M_alt 'R 3 m'
_space_group_IT_number 160
_space_group_name_Hall 'R 3 -2"'
loop_
_atom_site_label
_atom_site_type_symbol
_atom_site_fract_x
_atom_site_fract_y
_atom_site_fract_z
Ce1 Ce 0.0000 0.0000 0.0000
Ce2 Ce 0.0000 0.0000 0.1687
Sm1 Sm 0.0000 0.0000 0.7525
Er1 Er 0.0000 0.0000 0.5833

Which is the most stable structure? <4> is the most stable.

<1>
# CeSm2Er5, relaxed, DFT PBE
# - ρ (g cm⁻³) = 8.4
# - DOS(E_F) (states/eV/cell) = 59.879
# - volume (Å³ per atom) = 31.41
data_CeSm2Er5
_cell_length_a 16.073
_cell_length_b 9.821
_cell_length_c 6.422
_cell_angle_alpha 90.00
_cell_angle_beta 97.52
_cell_angle_gamma 90.00
_space_group_name_H-M_alt 'C 1 2/c 1'
_space_group_IT_number 15
loop_
_space_group_symop_operation_xyz
'x,y,z'
'-x,-y,-z'
'-x,y,-z+1/2'
'x,-y,z+1/2'
'x+1/2,y+1/2,z'
'-x+1/2,-y+1/2,-z'
'-x+1/2,y+1/2,-z+1/2'
'x+1/2,-y+1/2,z+1/2'
loop_
_atom_site_label
_atom_site_type_symbol
_atom_site_fract_x
_atom_site_fract_y
_atom_site_fract_z
Ce1 Ce 0.250 0.250 0.000
Sm1 Sm 0.081 0.244 0.116
Er1 Er 0.000 0.444 0.750
Er2 Er 0.099 0.092 0.638
Er3 Er 0.198 0.410 0.528

<2>
# CeSm2Er5, relaxed, DFT PBE
# - ρ (g cm⁻³) = 8.5
# - DOS(E_F) (states/eV/cell) = 25.115
# - volume (Å³ per atom) = 31.36
data_CeSm2Er5
_cell_length_a 7.073
_cell_length_b 14.157
_cell_length_c 5.011
_cell_angle_alpha 90.00
_cell_angle_beta 90.00
_cell_angle_gamma 90.00
_space_group_name_H-M_alt 'P b a m'
_space_group_IT_number 55
loop_
_space_group_symop_operation_xyz
'x,y,z'
'-x,-y,-z'
'-x,-y,z'
'x,y,-z'
'x+1/2,-y+1/2,-z'
'-x+1/2,y+1/2,z'
'-x+1/2,y+1/2,-z'
'x+1/2,-y+1/2,z'
loop_
_atom_site_label
_atom_site_type_symbol
_atom_site_fract_x
_atom_site_fract_y
_atom_site_fract_z
Ce1 Ce 0.000 0.000 0.000
Sm1 Sm 0.249 0.124 0.500
Er1 Er 0.000 0.500 0.000
Er2 Er 0.004 0.250 0.000
Er3 Er 0.244 0.876 0.500

Which is the most stable structure? <2> is the most stable.

<1>
# CeSmEr6, relaxed, DFT PBE
# - ρ (g cm⁻³) = 8.7
# - DOS(E_F) (states/eV/cell) = 29.062
# - volume (Å³ per atom) = 31.01
data_CeSmEr6
_cell_length_a 11.116
_cell_length_b 5.003
_cell_length_c 9.992
_cell_angle_alpha 90.00
_cell_angle_beta 116.79
_cell_angle_gamma 90.00
_space_group_name_H-M_alt 'C 1 2/m 1'
_space_group_IT_number 12
loop_
_space_group_symop_operation_xyz
'x,y,z'
'-x,-y,-z'
'-x,y,-z'
'x,-y,z'
'x+1/2,y+1/2,z'
'-x+1/2,-y+1/2,-z'
'-x+1/2,y+1/2,-z'
'x+1/2,-y+1/2,z'
loop_
_atom_site_label
_atom_site_type_symbol
_atom_site_fract_x
_atom_site_fract_y
_atom_site_fract_z
Ce1 Ce 0.000 0.000 0.000
Sm1 Sm 0.000 0.000 0.500
Er1 Er 0.000 0.500 0.248
Er2 Er 0.248 0.500 0.123
Er3 Er 0.249 0.000 0.373

<2>
# CeSmEr6, relaxed, DFT PBE
# - ρ (g cm⁻³) = 8.7
# - DOS(E_F) (states/eV/cell) = 11.864
# - volume (Å³ per atom) = 30.87
data_CeSmEr6
_cell_length_a 4.982
_cell_length_b 4.982
_cell_length_c 9.952
_cell_angle_alpha 90.00
_cell_angle_beta 90.00
_cell_angle_gamma 90.00
_space_group_name_H-M_alt 'P 4/m m m'
_space_group_IT_number 123
_space_group_name_Hall '-P 4 2'
loop_
_atom_site_label
_atom_site_type_symbol
_atom_site_fract_x
_atom_site_fract_y
_atom_site_fract_z
Ce1 Ce 0.000 0.000 0.000
Sm1 Sm 0.000 0.000 0.500
Er1 Er 0.000 0.500 0.248
Er2 Er 0.500 0.500 0.000
Er3 Er 0.500 0.500 0.500

Which is the most stable structure? <2> is the most stable.

<1>
# CeSm4Er, relaxed, DFT PBE
# - ρ (g cm⁻³) = 7.6
# - DOS(E_F) (states/eV/cell) = 60.254
# - volume (Å³ per atom) = 33.14
data_CeSm4Er
_cell_length_a 6.685
_cell_length_b 11.675
_cell_length_c 10.192
_cell_angle_alpha 90.00
_cell_angle_beta 90.00
_cell_angle_gamma 90.00
_space_group_name_H-M_alt 'I m m a'
_space_group_IT_number 74
_space_group_name_Hall '-I 2b 2'
loop_
_atom_site_label
_atom_site_type_symbol
_atom_site_fract_x
_atom_site_fract_y
_atom_site_fract_z
Ce1 Ce 0.000 0.000 0.000
Sm1 Sm 0.000 0.005 0.334
Sm2 Sm 0.250 0.250 0.579
Er1 Er 0.250 0.250 0.250

<2>
# CeSm4Er, relaxed, DFT PBE
# - ρ (g cm⁻³) = 7.7
# - DOS(E_F) (states/eV/cell) = 24.166
# - volume (Å³ per atom) = 32.76
data_CeSm4Er
_cell_length_a 6.217
_cell_length_b 10.796
_cell_length_c 6.210
_cell_angle_alpha 90.00
_cell_angle_beta 109.41
_cell_angle_gamma 90.00
_space_group_name_H-M_alt 'C 1 2/m 1'
_space_group_IT_number 12
loop_
_space_group_symop_operation_xyz
'x,y,z'
'-x,-y,-z'
'-x,y,-z'
'x,-y,z'
'x+1/2,y+1/2,z'
'-x+1/2,-y+1/2,-z'
'-x+1/2,y+1/2,-z'
'x+1/2,-y+1/2,z'
loop_
_atom_site_label
_atom_site_type_symbol
_atom_site_fract_x
_atom_site_fract_y
_atom_site_fract_z
Ce1 Ce 0.000 0.000 0.000
Sm1 Sm 0.000 0.164 0.500
Sm2 Sm 0.000 0.334 0.000
Er1 Er 0.000 0.500 0.500

Which is the most stable structure? <2> is the most stable.

<1>
# CeEr2Sn, relaxed, DFT PBE
# - ρ (g cm⁻³) = 9.1
# - DOS(E_F) (states/eV/cell) = 32.506
# - volume (Å³ per atom) = 26.94
data_CeEr2Sn
_cell_length_a 7.554
_cell_length_b 7.554
_cell_length_c 7.554
_cell_angle_alpha 90.00
_cell_angle_beta 90.00
_cell_angle_gamma 90.00
_space_group_name_H-M_alt 'F m -3 m'
_space_group_IT_number 225
_space_group_name_Hall '-F 4 2 3'
loop_
_atom_site_label
_atom_site_type_symbol
_atom_site_fract_x
_atom_site_fract_y
_atom_site_fract_z
Ce1 Ce 0.000 0.000 0.000
Er1 Er 0.250 0.250 0.250
Sn1 Sn 0.000 0.000 0.500

<2>
# CeEr2Sn, relaxed, DFT PBE
# - ρ (g cm⁻³) = 8.8
# - DOS(E_F) (states/eV/cell) = 7.392
# - volume (Å³ per atom) = 28.03
data_CeEr2Sn
_cell_length_a 3.837
_cell_length_b 3.837
_cell_length_c 7.616
_cell_angle_alpha 90.00
_cell_angle_beta 90.00
_cell_angle_gamma 90.00
_space_group_name_H-M_alt 'P 4/m m m'
_space_group_IT_number 123
_space_group_name_Hall '-P 4 2'
loop_
_atom_site_label
_atom_site_type_symbol
_atom_site_fract_x
_atom_site_fract_y
_atom_site_fract_z
Ce1 Ce 0.000 0.000 0.000
Er1 Er 0.500 0.500 0.276
Sn1 Sn 0.000 0.000 0.500

Which is the most stable structure? <2> is the most stable.

<1>
# Tb12CeEr7, relaxed, DFT PBE
# - ρ (g cm⁻³) = 8.3
# - DOS(E_F) (states/eV/cell) = 120.369
# - volume (Å³ per atom) = 32.00
data_Tb12CeEr7
_cell_length_a 14.9736
_cell_length_b 14.9736
_cell_length_c 9.8878
_cell_angle_alpha 90.00
_cell_angle_beta 90.00
_cell_angle_gamma 120.00
_space_group_name_H-M_alt 'R -3'
_space_group_IT_number 148
_space_group_name_Hall '-R 3'
loop_
_atom_site_label
_atom_site_type_symbol
_atom_site_fract_x
_atom_site_fract_y
_atom_site_fract_z
Tb1 Tb 0.0362 0.2505 0.0757
Tb2 Tb 0.0443 0.1941 0.7561
Ce1 Ce 0.0000 0.0000 0.5000
Er1 Er 0.0000 0.0000 0.0000
Er2 Er 0.0698 0.2447 0.4299

<2>
# Tb12CeEr7, relaxed, DFT PBE
# - ρ (g cm⁻³) = 7.3
# - DOS(E_F) (states/eV/cell) = 64.305
# - volume (Å³ per atom) = 36.37
data_Tb12CeEr7
_cell_length_a 11.331
_cell_length_b 11.331
_cell_length_c 11.331
_cell_angle_alpha 90.00
_cell_angle_beta 90.00
_cell_angle_gamma 90.00
_space_group_name_H-M_alt 'I m -3 m'
_space_group_IT_number 229
_space_group_name_Hall '-I 4 2 3'
loop_
_atom_site_label
_atom_site_type_symbol
_atom_site_fract_x
_atom_site_fract_y
_atom_site_fract_z
Tb1 Tb 0.000 0.258 0.258
Ce1 Ce 0.000 0.000 0.000
Er1 Er 0.000 0.000 0.500
Er2 Er 0.250 0.250 0.250

Which is the most stable structure? <1> is the most stable.

<1>
# TbCeEr2, relaxed, DFT PBE
# - ρ (g cm⁻³) = 8.6
# - DOS(E_F) (states/eV/cell) = 24.007
# - volume (Å³ per atom) = 30.55
data_TbCeEr2
_cell_length_a 3.5277
_cell_length_b 3.5277
_cell_length_c 34.0191
_cell_angle_alpha 90.00
_cell_angle_beta 90.00
_cell_angle_gamma 120.00
_space_group_name_H-M_alt 'R 3 m'
_space_group_IT_number 160
_space_group_name_Hall 'R 3 -2"'
loop_
_atom_site_label
_atom_site_type_symbol
_atom_site_fract_x
_atom_site_fract_y
_atom_site_fract_z
Tb1 Tb 0.0000 0.0000 0.0000
Ce1 Ce 0.0000 0.0000 0.8343
Er1 Er 0.0000 0.0000 0.2496
Er2 Er 0.0000 0.0000 0.4183

<2>
# TbCeEr2, relaxed, DFT PBE
# - ρ (g cm⁻³) = 8.6
# - DOS(E_F) (states/eV/cell) = 7.856
# - volume (Å³ per atom) = 30.65
data_TbCeEr2
_cell_length_a 3.513
_cell_length_b 3.513
_cell_length_c 9.934
_cell_angle_alpha 90.00
_cell_angle_beta 90.00
_cell_angle_gamma 90.00
_space_group_name_H-M_alt 'P 4/m m m'
_space_group_IT_number 123
_space_group_name_Hall '-P 4 2'
loop_
_atom_site_label
_atom_site_type_symbol
_atom_site_fract_x
_atom_site_fract_y
_atom_site_fract_z
Tb1 Tb 0.000 0.000 0.000
Ce1 Ce 0.000 0.000 0.500
Er1 Er 0.500 0.500 0.255

<3>
# TbCeEr2, relaxed, DFT PBE
# - ρ (g cm⁻³) = 8.4
# - DOS(E_F) (states/eV/cell) = 37.372
# - volume (Å³ per atom) = 31.48
data_TbCeEr2
_cell_length_a 7.956
_cell_length_b 7.956
_cell_length_c 7.956
_cell_angle_alpha 90.00
_cell_angle_beta 90.00
_cell_angle_gamma 90.00
_space_group_name_H-M_alt 'F m -3 m'
_space_group_IT_number 225
_space_group_name_Hall '-F 4 2 3'
loop_
_atom_site_label
_atom_site_type_symbol
_atom_site_fract_x
_atom_site_fract_y
_atom_site_fract_z
Tb1 Tb 0.000 0.000 0.000
Ce1 Ce 0.000 0.000 0.500
Er1 Er 0.250 0.250 0.250

<4>
# TbCeEr2, relaxed, DFT PBE
# - ρ (g cm⁻³) = 8.6
# - DOS(E_F) (states/eV/cell) = 15.290
# - volume (Å³ per atom) = 30.71
data_TbCeEr2
_cell_length_a 6.086
_cell_length_b 3.514
_cell_length_c 11.665
_cell_angle_alpha 90.00
_cell_angle_beta 100.00
_cell_angle_gamma 90.00
_space_group_name_H-M_alt 'C 1 m 1'
_space_group_IT_number 8
loop_
_space_group_symop_operation_xyz
'x,y,z'
'x,-y,z'
'x+1/2,y+1/2,z'
'x+1/2,-y+1/2,z'
loop_
_atom_site_label
_atom_site_type_symbol
_atom_site_fract_x
_atom_site_fract_y
_atom_site_fract_z
Tb1 Tb 0.000 0.000 0.000
Ce1 Ce 0.167 0.000 0.497
Er1 Er 0.084 0.500 0.749
Er2 Er 0.416 0.000 0.249

Which is the most stable structure? <1> is the most stable.

<1>
# TbCeEr2, relaxed, DFT PBE
# - ρ (g cm⁻³) = 8.6
# - DOS(E_F) (states/eV/cell) = 23.058
# - volume (Å³ per atom) = 30.50
data_TbCeEr2
_cell_length_a 3.5087
_cell_length_b 3.5087
_cell_length_c 34.3257
_cell_angle_alpha 90.00
_cell_angle_beta 90.00
_cell_angle_gamma 120.00
_space_group_name_H-M_alt 'R -3 m'
_space_group_IT_number 166
_space_group_name_Hall '-R 3 2"'
loop_
_atom_site_label
_atom_site_type_symbol
_atom_site_fract_x
_atom_site_fract_y
_atom_site_fract_z
Tb1 Tb 0.0000 0.0000 0.0000
Ce1 Ce 0.0000 0.0000 0.5000
Er1 Er 0.0000 0.0000 0.2491

<2>
# TbCeEr2, relaxed, DFT PBE
# - ρ (g cm⁻³) = 8.6
# - DOS(E_F) (states/eV/cell) = 6.718
# - volume (Å³ per atom) = 30.72
data_TbCeEr2
_cell_length_a 4.981
_cell_length_b 4.981
_cell_length_c 4.952
_cell_angle_alpha 90.00
_cell_angle_beta 90.00
_cell_angle_gamma 90.00
_space_group_name_H-M_alt 'P 4/m m m'
_space_group_IT_number 123
_space_group_name_Hall '-P 4 2'
loop_
_atom_site_label
_atom_site_type_symbol
_atom_site_fract_x
_atom_site_fract_y
_atom_site_fract_z
Tb1 Tb 0.000 0.000 0.000
Ce1 Ce 0.500 0.500 0.000
Er1 Er 0.000 0.500 0.500

Which is the most stable structure? <1> is the most stable.